Entry 1:
Density functional theory data (PBE-GGA) for crystalline EuDyCdHg at its relaxed geometry.

Cell and atoms, written as extended XYZ:
```
4
Lattice="-3.1357 -3.1121 3.0862 2.2273 -3.4273 3.5122 -0.3646 0.9495 5.2923" Properties=species:S:1:pos:R:3 pbc="T T T"
Eu -0.6365 -2.7949 5.9454
Cd -0.3183 -1.3975 2.9727
Hg -0.9548 -4.1924 8.9180
Dy 0.0000 0.0000 0.0000
```

Its calculated formation energy is -0.40 eV/atom.

Entry 2:
Density functional theory data (PBE-GGA) for crystalline BaPm2TiN4 at its relaxed geometry.

Cell and atoms, written as extended XYZ:
```
16
Lattice="3.6065 0.0000 0.0000 -1.8033 6.2952 0.0000 0.0000 0.0000 12.2257" Properties=species:S:1:pos:R:3 pbc="T T T"
Ba 0.0000 1.2401 9.1693
Ba 1.8033 5.0551 3.0564
Pm 0.0000 4.6593 6.5920
Pm 1.8033 1.6360 0.4791
Pm 1.8033 1.6360 5.6338
Pm 0.0000 4.6593 11.7466
Ti 1.8033 4.1269 9.1693
Ti 0.0000 2.1684 3.0564
N 0.0000 3.2315 1.4970
N 1.8033 3.0637 7.6099
N 1.8033 3.0637 10.7287
N 0.0000 3.2315 4.6159
N 0.0000 0.0000 6.1129
N 0.0000 0.0000 0.0000
N 0.0000 5.0652 9.1693
N 1.8033 1.2300 3.0564
```

The energy relative to the elements, uncorrected is -1.317 eV per atom.

For the records above, the corresponding spin magnetization values read 6.9; 0.0 μB per cell.
For the records above, the corresponding V values read 110.67; 277.57 Å³ per cell.